A plane-wave DFT calculation with PBE-GGA was carried out for an optimized crystal structure of Na4CdHg3.

a b c (Å): 17.6290 4.9687 4.9667
angles (deg): 90.00 106.26 90.00
Space group C2/m (No. 12)
Symmetry-distinct sites (fractional):
Na 0.1264 0.0000 0.1263 x4
Na 0.1264 0.5000 0.6264 x4
Cd 0.0000 0.0000 0.5000 x2
Hg 0.0000 0.5000 0.0000 x2
Hg 0.2497 0.0000 0.7496 x4

Computed properties:
Total DFT energy (no corrections)   -1.0834 eV/atom
DOS(E_F)   5.90 states/eV per cell
Spin magnetization   0.00 μB per atom